No. 1
Material: HgBiCl
Method: DFT, PBE-GGA
State: relaxed

Output
DOS at the Fermi energy   1.1 states/eV/cell
Total magnetic moment   0.000 μB per formula unit
VASP energy   -2.3585 eV per atom
Space group   No. 1
Formation energy from raw total energies   -349 meV/atom
Energy above the lowest structure with this stoichiometry   0.009 eV per atom

Cell lengths 4.465, 5.458, 9.684 Å; angles 73.98, 108.91, 89.87 degrees
Positions (direct):
Hg 0.027 0.972 0.980
Hg 0.164 0.539 0.842
Bi 0.431 0.692 0.535
Bi 0.759 0.815 0.287
Cl 0.465 0.165 0.590
Cl 0.725 0.342 0.233

No. 2
Material: HgBiCl3
Method: DFT, PBE-GGA
State: relaxed

Output
DOS at the Fermi energy   0.0 states/eV/cell
Total magnetic moment   0.000 μB per formula unit
VASP energy   -2.6981 eV per atom
Space group   No. 1
Formation energy from raw total energies   -754 meV/atom
Energy above the lowest structure with this stoichiometry   0.008 eV per atom

Cell lengths 7.049, 9.071, 7.740 Å; angles 78.62, 63.01, 111.68 degrees
Positions (direct):
Cl 0.574 0.902 0.970
Cl 0.517 0.769 0.549
Cl 0.807 0.462 0.645
Cl 0.148 0.967 0.482
Cl 0.191 0.419 0.153
Cl 0.760 0.606 0.111
Bi 0.305 0.563 0.385
Bi 0.697 0.703 0.781
Hg 0.171 0.036 0.031
Hg 0.190 0.245 0.693

No. 3
Material: HgBiCl3
Method: DFT, PBE-GGA
State: relaxed

Output
DOS at the Fermi energy   10.6 states/eV/cell
Total magnetic moment   0.000 μB per formula unit
VASP energy   -2.0611 eV per atom
Space group   No. 63
Formation energy from raw total energies   -117 meV/atom
Energy above the lowest structure with this stoichiometry   0.645 eV per atom

Cell lengths 9.345, 9.345, 6.773 Å; angles 90.00, 90.00, 150.28 degrees
Positions (direct):
Bi 0.455 0.545 0.750
Bi 0.545 0.455 0.250
Cl 0.064 0.432 0.250
Cl 0.432 0.064 0.750
Cl 0.568 0.936 0.250
Cl 0.000 0.000 0.000
Cl 0.000 0.000 0.500
Cl 0.936 0.568 0.750
Hg 0.161 0.839 0.250
Hg 0.839 0.161 0.750

What did the third record say?
Material: HgBiCl3
Method: DFT, PBE-GGA
State: relaxed

Output
DOS at the Fermi energy   10.6 states/eV/cell
Total magnetic moment   0.000 μB per formula unit
VASP energy   -2.0611 eV per atom
Space group   No. 63
Formation energy from raw total energies   -117 meV/atom
Energy above the lowest structure with this stoichiometry   0.645 eV per atom

Cell lengths 9.345, 9.345, 6.773 Å; angles 90.00, 90.00, 150.28 degrees
Positions (direct):
Bi 0.455 0.545 0.750
Bi 0.545 0.455 0.250
Cl 0.064 0.432 0.250
Cl 0.432 0.064 0.750
Cl 0.568 0.936 0.250
Cl 0.000 0.000 0.000
Cl 0.000 0.000 0.500
Cl 0.936 0.568 0.750
Hg 0.161 0.839 0.250
Hg 0.839 0.161 0.750

> Number 3 is which compound?

HgBiCl3

Please write out number 3 again, unchanged.
Material: HgBiCl3
Method: DFT, PBE-GGA
State: relaxed

Output
DOS at the Fermi energy   10.6 states/eV/cell
Total magnetic moment   0.000 μB per formula unit
VASP energy   -2.0611 eV per atom
Space group   No. 63
Formation energy from raw total energies   -117 meV/atom
Energy above the lowest structure with this stoichiometry   0.645 eV per atom

Cell lengths 9.345, 9.345, 6.773 Å; angles 90.00, 90.00, 150.28 degrees
Positions (direct):
Bi 0.455 0.545 0.750
Bi 0.545 0.455 0.250
Cl 0.064 0.432 0.250
Cl 0.432 0.064 0.750
Cl 0.568 0.936 0.250
Cl 0.000 0.000 0.000
Cl 0.000 0.000 0.500
Cl 0.936 0.568 0.750
Hg 0.161 0.839 0.250
Hg 0.839 0.161 0.750

> DOS at the Fermi energy of number 3 (HgBiCl3)?

10.6 states/eV/cell